Entry 1:
PmTm6Te8 | PBE-GGA | optimized geometry

- energy relative to the lowest polymorph listed for this composition (meV/atom) = 0.0
- E (eV/cell) = -304.5
- crystal system = cubic
- formation energy from raw total energies (meV per atom) = -1294

abc: 12.1456 12.1456 12.1456
angles: 90.00 90.00 90.00
Space group Fm-3m (No. 225)
Inequivalent atoms, fractional coordinates:
Pm 0.0000 0.0000 0.0000 x4
Tm 0.0000 0.2500 0.2500 x24
Te 0.0000 0.0000 0.2620 x24
Te 0.2500 0.2500 0.2500 x8

***

Entry 2:
Pm2TmTe | PBE-GGA | optimized geometry

- energy relative to the lowest polymorph listed for this composition (meV/atom) = 59.2
- E (eV/cell) = -57.5
- crystal system = trigonal
- formation energy from raw total energies (meV per atom) = -514

abc: 3.9389 3.9389 29.8852
angles: 90.00 90.00 120.00
Space group R-3m (No. 166, hexagonal axes)
Inequivalent atoms, fractional coordinates:
Pm 0.0000 0.0000 0.2396 x6
Tm 0.0000 0.0000 0.0000 x3
Te 0.0000 0.0000 0.5000 x3

***

Entry 3:
PmTmTe3 | PBE-GGA | optimized geometry

- energy relative to the lowest polymorph listed for this composition (meV/atom) = 2.5
- E (eV/cell) = -102.2
- crystal system = orthorhombic
- formation energy from raw total energies (meV per atom) = -1381

abc: 8.2406 4.3649 17.3307
angles: 90.00 90.00 90.00
Space group Pnma (No. 62)
Inequivalent atoms, fractional coordinates:
Pm 0.1356 0.2500 0.1999 x4
Tm 0.2276 0.7500 0.4585 x4
Te 0.0053 0.2500 0.3942 x4
Te 0.1177 0.7500 0.0628 x4
Te 0.1567 0.2500 0.7861 x4

***

Entry 4:
PmTm3Te3 | PBE-GGA | optimized geometry

- E (eV/cell) = -204.0
- crystal system = trigonal
- formation energy from raw total energies (meV per atom) = -915

abc: 7.1398 7.1398 30.9701
angles: 90.00 90.00 120.00
Space group R-3 (No. 148, hexagonal axes)
Inequivalent atoms, fractional coordinates:
Pm 0.0000 0.0000 0.1671 x6
Tm 0.0037 0.6548 0.3772 x18
Te 0.0021 0.6859 0.5618 x18

***

Entry 5:
Pm5Tm3Te8 | PBE-GGA | optimized geometry

- E (eV/cell) = -250.1
- crystal system = trigonal
- formation energy from raw total energies (meV per atom) = -1317

abc: 8.7338 8.7338 21.9798
angles: 90.00 90.00 120.00
Space group R-3m (No. 166, hexagonal axes)
Inequivalent atoms, fractional coordinates:
Pm 0.0000 0.0000 0.0000 x3
Pm 0.0000 0.0000 0.5000 x3
Pm 0.0000 0.5000 0.0000 x9
Tm 0.0000 0.5000 0.5000 x9
Te 0.0000 0.0000 0.2450 x6
Te 0.0068 0.5034 0.7534 x18

***

Entry 6:
Pm2TmTe3 | PBE-GGA | optimized geometry

- E (eV/cell) = -62.8
- crystal system = orthorhombic
- formation energy from raw total energies (meV per atom) = -1330

abc: 4.4098 6.2159 13.3013
angles: 90.00 90.00 90.00
Space group Immm (No. 71)
Inequivalent atoms, fractional coordinates:
Pm 0.0000 0.0000 0.1750 x4
Tm 0.0000 0.0000 0.5000 x2
Te 0.0000 0.5000 0.1564 x4
Te 0.0000 0.5000 0.5000 x2

***

Entry 7:
PmTmTe3 | PBE-GGA | optimized geometry

- energy relative to the lowest polymorph listed for this composition (meV/atom) = 0.0
- E (eV/cell) = -102.2
- crystal system = orthorhombic
- formation energy from raw total energies (meV per atom) = -1383

abc: 8.1623 11.0501 7.3626
angles: 90.00 90.00 90.00
Space group Pnma (No. 62)
Inequivalent atoms, fractional coordinates:
Pm 0.1200 0.2500 0.0514 x4
Tm 0.0000 0.0000 0.5000 x4
Te 0.0468 0.7500 0.3402 x4
Te 0.1763 0.5744 0.8376 x8

***

Entry 8:
PmTmTe | PBE-GGA | optimized geometry

- energy relative to the lowest polymorph listed for this composition (meV/atom) = 43.2
- E (eV/cell) = -116.8
- crystal system = monoclinic
- formation energy from raw total energies (meV per atom) = -744

abc: 16.7502 3.9947 11.1098
angles: 90.00 92.42 90.00
Space group C2/m (No. 12)
Inequivalent atoms, fractional coordinates:
Pm 0.0241 0.0000 0.3505 x4
Pm 0.1155 0.5000 0.8415 x4
Tm 0.1933 0.0000 0.0822 x4
Tm 0.2504 0.0000 0.6653 x4
Te 0.0726 0.5000 0.1517 x4
Te 0.1199 0.5000 0.5411 x4

***

Entry 9:
PmTmTe | PBE-GGA | optimized geometry

- energy relative to the lowest polymorph listed for this composition (meV/atom) = 0.0
- E (eV/cell) = -58.9
- crystal system = triclinic
- formation energy from raw total energies (meV per atom) = -787

abc: 6.1264 6.4463 9.3695
angles: 75.99 83.94 81.57
Space group P-1 (No. 2)
Inequivalent atoms, fractional coordinates:
Pm 0.1698 0.1337 0.1287 x2
Pm 0.3212 0.0192 0.7646 x2
Tm 0.1930 0.7581 0.4780 x2
Tm 0.3071 0.6256 0.1214 x2
Te 0.1969 0.4996 0.8167 x2
Te 0.3075 0.2688 0.4229 x2

***

Entry 10:
Pm6TmTe8 | PBE-GGA | optimized geometry

- E (eV/cell) = -318.2
- crystal system = cubic
- formation energy from raw total energies (meV per atom) = -1430

abc: 12.5715 12.5715 12.5715
angles: 90.00 90.00 90.00
Space group Fm-3m (No. 225)
Inequivalent atoms, fractional coordinates:
Pm 0.0000 0.2500 0.2500 x24
Tm 0.0000 0.0000 0.0000 x4
Te 0.0000 0.0000 0.2482 x24
Te 0.2500 0.2500 0.2500 x8

***

Entry 11:
Pm3Tm2Te6 | PBE-GGA | optimized geometry

- E (eV/cell) = -170.9
- crystal system = trigonal
- formation energy from raw total energies (meV per atom) = -1356

abc: 4.3818 4.3818 66.1288
angles: 90.00 90.00 120.00
Space group R-3m (No. 166, hexagonal axes)
Inequivalent atoms, fractional coordinates:
Pm 0.0000 0.0000 0.0000 x3
Pm 0.0000 0.0000 0.2774 x6
Tm 0.0000 0.0000 0.4481 x6
Te 0.0000 0.0000 0.0857 x6
Te 0.0000 0.0000 0.1951 x6
Te 0.0000 0.0000 0.3615 x6

***

Entry 12:
Pm4Tm3Te8 | PBE-GGA | optimized geometry

- E (eV/cell) = -156.1
- crystal system = monoclinic
- formation energy from raw total energies (meV per atom) = -1365

abc: 12.3621 12.3726 8.7388
angles: 90.00 134.89 90.00
Space group C2/m (No. 12)
Inequivalent atoms, fractional coordinates:
Pm 0.0000 0.0000 0.0000 x2
Pm 0.0000 0.0000 0.5000 x2
Pm 0.2500 0.2500 0.0000 x4
Tm 0.0000 0.5000 0.0000 x2
Tm 0.2500 0.2500 0.5000 x4
Te 0.0000 0.2545 0.0000 x4
Te 0.0000 0.2589 0.5000 x4
Te 0.2366 0.5000 0.4912 x4
Te 0.2368 0.5000 0.9826 x4

***

Which of these has the lowest formation energy from raw total energies? Pm6TmTe8

***

Copy entry 3 word for word.
PmTmTe3 | PBE-GGA | optimized geometry

- energy relative to the lowest polymorph listed for this composition (meV/atom) = 2.5
- E (eV/cell) = -102.2
- crystal system = orthorhombic
- formation energy from raw total energies (meV per atom) = -1381

abc: 8.2406 4.3649 17.3307
angles: 90.00 90.00 90.00
Space group Pnma (No. 62)
Inequivalent atoms, fractional coordinates:
Pm 0.1356 0.2500 0.1999 x4
Tm 0.2276 0.7500 0.4585 x4
Te 0.0053 0.2500 0.3942 x4
Te 0.1177 0.7500 0.0628 x4
Te 0.1567 0.2500 0.7861 x4

***

Among the records above, which one has the highest E? Pm2TmTe